Record 1
TaCo2W | PBE-GGA | relaxed

Summary:
- Formation energy from the elements: -31 meV per atom
- Uncorrected energy: -9.79 eV per atom
- N(E_F): 2.9 states/eV per cell

Cell lengths 4.569, 4.569, 2.729 Å; angles 89.97, 89.97, 106.73 degrees
Atoms (fractional coordinates):
Co (0.000, 0.000, 0.000)
Co (0.500, 0.500, 0.000)
Ta (0.500, 0.000, 0.500)
W (0.000, 0.500, 0.500)

=====

Record 2
TaCo2W | PBE-GGA | relaxed

Summary:
- Formation energy from the elements: -6 meV per atom
- Uncorrected energy: -9.76 eV per atom
- N(E_F): 3.8 states/eV per cell

Cell lengths 3.127, 3.128, 5.673 Å; angles 90.00, 90.00, 90.00 degrees
Atoms (fractional coordinates):
Co (0.000, 0.000, 0.995)
Co (0.500, 0.500, 0.247)
W (0.500, 0.500, 0.789)
Ta (0.000, 0.000, 0.470)

=====

Record 3
TaCo2W | PBE-GGA | relaxed

Summary:
- Formation energy from the elements: 274 meV per atom
- Uncorrected energy: -9.48 eV per atom
- N(E_F): 4.7 states/eV per cell

Cell lengths 8.780, 8.780, 8.780 Å; angles 17.97, 17.97, 17.97 degrees
Atoms (fractional coordinates):
Co (0.498, 0.498, 0.498)
Co (0.002, 0.002, 0.002)
Ta (0.250, 0.250, 0.250)
W (0.750, 0.750, 0.750)

=====

Record 4
TaCo2W2 | PBE-GGA | relaxed

Summary:
- Formation energy from the elements: 101 meV per atom
- Uncorrected energy: -10.29 eV per atom
- N(E_F): 18.8 states/eV per cell
- Energy above the most stable polymorph in this dataset: 0.0 meV per atom

Cell lengths 7.250, 7.250, 2.728 Å; angles 90.00, 90.00, 90.00 degrees
Atoms (fractional coordinates):
Co (0.377, 0.877, 0.000)
Co (0.877, 0.623, 0.000)
Co (0.623, 0.123, 0.000)
Co (0.123, 0.377, 0.000)
W (0.328, 0.172, 0.500)
W (0.672, 0.828, 0.500)
W (0.172, 0.672, 0.500)
W (0.828, 0.328, 0.500)
Ta (0.500, 0.500, 0.000)
Ta (0.000, 0.000, 0.000)

=====

> Which value of N(E_F) does entry 2 give?

3.8 states/eV per cell

=====

> The highest uncorrected energy belongs to which entry?

number 3